No. 1
The following is a PBEsol calculation of a relaxed structure of ScHgPb2, from Alexandria.

Lattice parameters (Å, degrees): 4.3703 4.3703 10.0645 90.00 90.00 90.00
Closest atoms and distances in Å follow each position.
Space group I-4m2 (No. 119)
Symmetry-distinct sites (fractional):
Sc 0.0000 0.0000 0.0000 x2  8 Pb 3.09-3.33, 4 Hg 3.33
Hg 0.0000 0.5000 0.2500 x2  8 Pb 3.09-3.33, 4 Sc 3.33
Pb 0.0000 0.0000 0.5000 x2  4 Sc 3.09, 4 Hg 3.33, 4 Pb 3.33
Pb 0.0000 0.5000 0.7500 x2  4 Hg 3.09, 4 Pb 3.33, 4 Sc 3.33

Calculated values
- M_tot (μB/f.u.) = 0.00
- energy of formation (meV per atom) = -213



No. 2
The following is a PBEsol calculation of a relaxed structure of Cs2NaInCl6, from Alexandria.

Lattice parameters (Å, degrees): 10.4859 10.4859 10.4859 90.00 90.00 90.00
Closest atoms and distances in Å follow each position.
Space group Fm-3m (No. 225)
Symmetry-distinct sites (fractional):
Cs 0.2500 0.2500 0.2500 x8  12 Cl 3.71
Na 0.0000 0.0000 0.0000 x4  6 Cl 2.73
In 0.0000 0.0000 0.5000 x4  6 Cl 2.51
Cl 0.0000 0.0000 0.2602 x24  1 In 2.51, 1 Na 2.73

Calculated values
- M_tot (μB/f.u.) = 0.00
- uncorrected formation energy (eV/f.u.) = -16.65



No. 3
The following is a PBEsol calculation of a relaxed structure of Ta2CoW, from Alexandria.

Lattice parameters (Å, degrees): 3.3552 4.3464 8.3085 90.00 90.00 90.00
Closest atoms and distances in Å follow each position.
Space group Cmmm (No. 65)
Symmetry-distinct sites (fractional):
Ta 0.0000 0.0000 0.2256 x4  2 Co 2.52, 4 Ta 2.75
Co 0.0000 0.5000 0.0000 x2  4 Ta 2.52, 4 Co 2.75
W 0.0000 0.5000 0.5000 x2  4 W 2.75, 4 Ta 2.83

Calculated values
- ΔE to the lowest computed polymorph (eV/atom) = 0.0000
- M_tot (μB/f.u.) = 0.00
- energy of formation (meV per atom) = -34



No. 4
The following is a PBEsol calculation of a relaxed structure of TaZnAu, from Alexandria.

Lattice parameters (Å, degrees): 2.8742 2.8742 6.8292 90.00 90.00 120.00
Closest atoms and distances in Å follow each position.
Space group P3m1 (No. 156)
Symmetry-distinct sites (fractional):
Ta 0.0000 0.0000 0.0000 x1  3 Zn 2.83, 3 Au 2.87, 6 Ta 2.87
Zn 0.3333 0.6667 0.6639 x1  3 Au 2.75, 3 Ta 2.83, 6 Zn 2.87
Au 0.6667 0.3333 0.3431 x1  3 Zn 2.75, 3 Ta 2.87, 6 Au 2.87

Calculated values
- M_tot (μB/f.u.) = 0.00
- energy of formation (meV per atom) = 31



No. 5
The following is a PBEsol calculation of a relaxed structure of ZrCuPt4, from Alexandria.

Lattice parameters (Å, degrees): 7.3219 7.3219 7.3219 90.00 90.00 90.00
Closest atoms and distances in Å follow each position.
Space group F-43m (No. 216)
Symmetry-distinct sites (fractional):
Zr 0.0000 0.0000 0.0000 x4  12 Pt 3.04, 4 Cu 3.17
Cu 0.2500 0.2500 0.2500 x4  12 Pt 3.03, 4 Zr 3.17
Pt 0.1244 0.1244 0.6244 x16  6 Pt 2.58-2.60

Calculated values
- M_tot (μB/f.u.) = 0.00
- energy of formation (meV per atom) = -493



No. 6
The following is a PBEsol calculation of a relaxed structure of NaLiBr2, from Alexandria.

Lattice parameters (Å, degrees): 7.1381 7.1381 7.1381 90.00 90.00 90.00
Closest atoms and distances in Å follow each position.
Space group Fm-3m (No. 225)
Symmetry-distinct sites (fractional):
Na 0.0000 0.0000 0.0000 x4  8 Br 3.09
Li 0.0000 0.0000 0.5000 x4  8 Br 3.09
Br 0.2500 0.2500 0.2500 x8  4 Na 3.09, 4 Li 3.09

Calculated values
- ΔE to the lowest computed polymorph (eV/atom) = 0.1476
- M_tot (μB/f.u.) = 0.00
- uncorrected formation energy (eV/f.u.) = -5.38



No. 7
The following is a PBEsol calculation of a relaxed structure of K2WO4, from Alexandria.

Lattice parameters (Å, degrees): 12.3210 6.1104 7.5238 90.00 115.93 90.00
Closest atoms and distances in Å follow each position.
Space group C2/m (No. 12)
Symmetry-distinct sites (fractional):
K 0.0086 0.0000 0.2339 x4  6 O 2.66-2.90
K 0.1560 0.5000 0.7486 x4  6 O 2.64-2.92
W 0.1755 0.5000 0.2265 x4  4 O 1.79
O 0.0871 0.5000 0.3631 x4  1 W 1.79
O 0.1417 0.2604 0.0741 x8  1 W 1.79
O 0.1654 0.0000 0.6146 x4  1 W 1.79

Calculated values
- M_tot (μB/f.u.) = 0.00
- uncorrected formation energy (eV/f.u.) = -15.08



No. 8
The following is a PBEsol calculation of a relaxed structure of LiSI3, from Alexandria.

Lattice parameters (Å, degrees): 5.2330 5.2330 5.2330 90.00 90.00 90.00
Closest atoms and distances in Å follow each position.
Space group Pm-3m (No. 221)
Symmetry-distinct sites (fractional):
Li 0.0000 0.0000 0.0000 x1  6 I 2.62
S 0.5000 0.5000 0.5000 x1  12 I 3.70
I 0.0000 0.0000 0.5000 x3  2 Li 2.62

Calculated values
- M_tot (μB/f.u.) = 1.54
- uncorrected formation energy (eV/f.u.) = 1.40



No. 9
The following is a PBEsol calculation of a relaxed structure of Li4Ti3Nb2Fe3O16, from Alexandria.

Lattice parameters (Å, degrees): 9.9878 5.8517 9.7624 90.00 90.18 90.00
Closest atoms and distances in Å follow each position.
Space group Cm (No. 8)
Symmetry-distinct sites (fractional):
Li 0.0000 0.0000 0.0000 x2  4 O 1.83-2.02
Li 0.0108 0.0000 0.5001 x2  4 O 1.84-1.95
Li 0.1853 0.5000 0.0877 x2  4 O 1.90-1.93
Li 0.3476 0.0000 0.5857 x2  4 O 1.93-1.97
Ti 0.1040 0.2541 0.7723 x4  5 O 1.90-2.00
Ti 0.1833 0.0000 0.2637 x2  4 O 1.89-1.95
Nb 0.1834 0.5000 0.4922 x2  3 O 1.87-1.93
Nb 0.3564 0.0000 0.0001 x2  6 O 1.94-2.14
Fe 0.3267 0.5000 0.7788 x2  6 O 1.94-1.98
Fe 0.4286 0.2293 0.2753 x4  6 O 1.97-2.16
O 0.0009 0.5000 0.1329 x2  1 Li 1.90, 1 Nb 1.94, 2 Fe 2.06
O 0.0027 0.0000 0.6884 x2  1 Li 1.84, 1 Fe 1.97, 2 Ti 1.97
O 0.0096 0.0000 0.1867 x2  1 Li 1.83, 1 Ti 1.89, 2 Fe 1.98
O 0.0298 0.5000 0.6575 x2  1 Li 1.95, 2 Ti 1.97
O 0.0986 0.2464 0.4001 x4  1 Nb 1.93, 1 Li 1.95, 1 Fe 2.09, 1 Ti 2.14
O 0.1668 0.5000 0.8910 x2  1 Li 1.93, 1 Fe 1.94, 2 Ti 1.95
O 0.1709 0.0000 0.8903 x2  2 Ti 2.00, 1 Li 2.02, 1 Nb 2.14
O 0.2529 0.2730 0.6516 x4  1 Ti 1.90, 1 Fe 1.96, 1 Li 1.97
O 0.2636 0.2184 0.1425 x4  1 Li 1.90, 1 Ti 1.92, 1 Fe 2.09, 1 Nb 2.11
O 0.3356 0.0000 0.3883 x2  1 Li 1.93, 1 Ti 1.95, 2 Fe 1.97
O 0.3471 0.5000 0.4007 x2  1 Nb 1.87, 1 Li 1.90
O 0.4165 0.2595 0.8877 x4  1 Li 1.97, 1 Nb 1.97, 1 Fe 1.98, 1 Ti 2.19

Calculated values
- M_tot (μB/f.u.) = 7.96
- uncorrected formation energy (eV/f.u.) = -64.01



No. 10
The following is a PBEsol calculation of a relaxed structure of Sr3Sb, from Alexandria.

Lattice parameters (Å, degrees): 8.6721 10.4631 7.2598 90.00 90.00 90.00
Closest atoms and distances in Å follow each position.
Space group Pnma (No. 62)
Symmetry-distinct sites (fractional):
Sr 0.0312 0.2500 0.1245 x4  2 Sb 3.33-3.40
Sr 0.1792 0.0577 0.6607 x8  3 Sb 3.34-3.63
Sb 0.1166 0.7500 0.4414 x4  8 Sr 3.33-3.63

Calculated values
- M_tot (μB/f.u.) = 0.91
- uncorrected formation energy (eV/f.u.) = -2.35



M_tot of number 3 (Ta2CoW)? 0.00 μB/f.u.



Which value of M_tot does entry 6 give? 0.00 μB/f.u.



M_tot of number 8 (LiSI3)? 1.54 μB/f.u.



Which formula does entry 4 have? TaZnAu